Sr2HfPd, relaxed, DFT PBE-GGA; total magnetization = 0.77 μB/f.u.; excess energy over the best structure of this formula in the dataset = 0.0 meV/atom; calculated formation energy = 289 meV per atom
1.0
11.2087 0.0000 0.0000
0.0000 11.2087 0.0000
0.0000 0.0000 5.0677
Sr Hf Pd
8 4 4
Direct
0.1002 0.7500 0.1250
0.2500 0.1002 0.8750
0.2500 0.3998 0.3750
0.3998 0.7500 0.6250
0.6002 0.2500 0.6250
0.7500 0.6002 0.3750
0.7500 0.8998 0.8750
0.8998 0.2500 0.1250
0.0000 0.0000 0.5000
0.0000 0.5000 0.7500
0.5000 0.0000 0.2500
0.5000 0.5000 0.0000
0.0000 0.0000 0.0000
0.0000 0.5000 0.2500
0.5000 0.0000 0.7500
0.5000 0.5000 0.5000